First-principles (meta-GGA SCAN) data for a crystal of CdHg2Cl relaxed with PBEsol, as listed in Alexandria via LeMat-Bulk.

Unit cell a=9.6451 b=3.8136 c=6.2030 alpha=90.00 beta=117.10 gamma=90.00
Closest atoms and distances in Å follow each position.
Space group Cm (No. 8)
Inequivalent atoms, fractional coordinates:
Cd 0.0000 0.0000 0.0000 [2 per cell]  2 Cl 2.67, 2 Hg 2.87
Hg 0.0150 0.5000 0.4045 [2 per cell]  3 Hg 2.98-3.15, 2 Cd 3.10, 3 Cl 3.24-3.34
Hg 0.2491 0.5000 0.1786 [2 per cell]  3 Cd 2.87-3.09, 3 Hg 2.98-3.15
Cl 0.3108 0.0000 0.7185 [2 per cell]  2 Cd 2.67

Output
DFT total energy: -43.988 eV/atom
raw formation energy: -0.307 eV per atom
total moment: 0.000 μB/f.u.